First-principles (PBE-GGA) data for a relaxed ZrBe2Os2 crystal, as listed in OQMD.

Unit cell a=6.531 b=6.531 c=3.047 alpha=90.00 beta=90.00 gamma=90.00
Element x y z (fractional)
Zr1 0.000 0.000 0.000
Zr2 0.500 0.500 0.000
Be1 0.118 0.382 0.000
Be2 0.382 0.882 0.000
Be3 0.618 0.118 0.000
Be4 0.882 0.618 0.000
Os1 0.163 0.663 0.500
Os2 0.337 0.163 0.500
Os3 0.663 0.837 0.500
Os4 0.837 0.337 0.500

SG	P4/mbm, No. 127
crystal system	tetragonal
volume	12.99	Å³/atom
raw total energy	-8.01	eV per atom

---

First-principles (PBE-GGA) data for a relaxed CsMg2Cd2As3 crystal, as listed in OQMD.

Unit cell a=4.509 b=4.509 c=10.918 alpha=90.00 beta=90.00 gamma=90.00
Element x y z (fractional)
Cs1 0.000 0.000 0.000
Mg1 0.000 0.500 0.660
Mg2 0.500 0.000 0.340
Cd1 0.000 0.500 0.340
Cd2 0.500 0.000 0.660
As1 0.000 0.000 0.500
As2 0.500 0.500 0.206
As3 0.500 0.500 0.794

SG	P-4m2, No. 115
crystal system	tetragonal
energy above the most stable polymorph in this dataset	0.00	kJ per mole of atoms
volume	27.74	Å³/atom
raw total energy	-2.94	eV per atom

---

Copy entry 1 word for word.
First-principles (PBE-GGA) data for a relaxed ZrBe2Os2 crystal, as listed in OQMD.

Unit cell a=6.531 b=6.531 c=3.047 alpha=90.00 beta=90.00 gamma=90.00
Element x y z (fractional)
Zr1 0.000 0.000 0.000
Zr2 0.500 0.500 0.000
Be1 0.118 0.382 0.000
Be2 0.382 0.882 0.000
Be3 0.618 0.118 0.000
Be4 0.882 0.618 0.000
Os1 0.163 0.663 0.500
Os2 0.337 0.163 0.500
Os3 0.663 0.837 0.500
Os4 0.837 0.337 0.500

SG	P4/mbm, No. 127
crystal system	tetragonal
volume	12.99	Å³/atom
raw total energy	-8.01	eV per atom

---

Question: Which of these has the lowest volume?
Answer: ZrBe2Os2

---

Question: Among the records above, which one has the highest volume?
Answer: CsMg2Cd2As3